Computed, not measured: a relaxed PmNbCoRu crystal at the PBE level of DFT.

- Formation energy: 0.059 eV per atom
- Total magnetization: 0.23 μB per atom

a b c (Å): 6.584 6.584 6.584
angles (deg): 90.00 90.00 90.00
Space group F-43m (No. 216)
Inequivalent atoms, fractional coordinates:
1 Pm 0.000 0.000 0.000 (multiplicity 4)
2 Nb 0.000 0.000 0.500 (multiplicity 4)
3 Co 0.250 0.250 0.250 (multiplicity 4)
4 Ru 0.250 0.250 0.750 (multiplicity 4)

=====

Computed, not measured: a relaxed Pr2NbCo crystal at the PBE level of DFT.

- Formation energy: 0.776 eV per atom
- Total magnetization: 0.34 μB per atom

a b c (Å): 3.3268 3.3268 30.4670
angles (deg): 90.00 90.00 120.00
Space group R-3m (No. 166, hexagonal axes)
Inequivalent atoms, fractional coordinates:
1 Pr 0.0000 0.0000 0.0993 (multiplicity 6)
2 Nb 0.0000 0.0000 0.0000 (multiplicity 3)
3 Co 0.0000 0.0000 0.5000 (multiplicity 3)

=====

We obtain volume values of 17.8, 24.3 A^3/atom for the records listed above, in that order.